[1]
11
Lattice="5.264 -6.958 0.000 5.264 6.958 0.000 -0.017 0.000 5.606" Properties=species:S:1:pos:R:3 comment="GGA-PBE La8Pm2Nd, relaxed" de_polymorph_ev_per_atom=0.014 formation_energy_ev_per_atom=0.13 pbc="T T T"
La 1.740 0.000 5.605
La 3.521 1.854 2.798
La 5.264 3.559 0.000
La 3.521 -1.854 2.798
La 6.990 1.854 2.809
La 5.264 -3.559 0.000
La 6.990 -1.854 2.809
La 8.771 0.000 0.001
Pm 5.255 5.317 2.803
Pm 5.255 -5.317 2.803
Nd 5.264 0.000 0.000



[2]
9
Lattice="5.832 -2.627 0.000 5.832 2.627 0.000 -3.433 0.000 10.561" Properties=species:S:1:pos:R:3 comment="GGA-PBE La4Pm2Nd3, relaxed" de_polymorph_ev_per_atom=0.006 formation_energy_ev_per_atom=0.02 pbc="T T T"
La -0.570 0.000 1.781
La 1.790 0.000 6.454
La 6.441 0.000 4.107
La 8.801 0.000 8.780
Pm 2.923 0.000 2.914
Pm 5.309 0.000 7.647
Nd -1.716 0.000 5.281
Nd 0.654 0.000 9.991
Nd 7.578 0.000 0.570



[3]
10
Lattice="3.971 -6.885 0.000 3.971 6.885 0.000 0.000 0.000 6.821" Properties=species:S:1:pos:R:3 comment="GGA-PBE La3PmNd, relaxed" de_polymorph_ev_per_atom=0.089 formation_energy_ev_per_atom=0.26 pbc="T T T"
La 2.369 1.373 5.115
La 3.971 4.147 5.115
La 2.369 -1.373 1.705
La 5.573 1.373 5.115
La 3.971 -4.147 1.705
La 5.573 -1.373 1.705
Pm 3.971 2.291 1.705
Pm 3.971 -2.291 5.115
Nd 0.000 0.000 0.000
Nd 0.000 0.000 3.410



[4]
20
Lattice="5.556 -8.644 0.000 5.556 8.644 0.000 -5.553 0.000 7.419" Properties=species:S:1:pos:R:3 comment="GGA-PBE La2Pm3Nd5, relaxed" de_polymorph_ev_per_atom=0.000 formation_energy_ev_per_atom=0.16 pbc="T T T"
La 1.396 2.171 0.363
La -1.381 -2.171 4.073
La 6.940 2.171 3.346
La 4.164 -2.171 7.056
Pm 1.397 2.169 3.479
Pm 4.168 3.856 1.855
Pm -1.379 -2.169 7.188
Pm 6.939 2.169 0.231
Pm 1.391 -3.856 5.564
Pm 4.162 -2.169 3.941
Nd 1.391 8.193 5.564
Nd -1.384 2.186 5.557
Nd 1.391 4.845 5.564
Nd 1.392 -2.186 1.847
Nd 4.168 0.509 1.855
Nd 1.391 -0.509 5.564
Nd 4.167 2.186 5.572
Nd 4.168 -4.845 1.855
Nd 6.944 -2.186 1.862
Nd 4.168 -8.193 1.855



[5]
30
Lattice="6.646 0.000 0.000 0.000 6.646 0.000 0.000 0.000 25.210" Properties=species:S:1:pos:R:3 comment="GGA-PBE La2Pm12Nd, relaxed" formation_energy_ev_per_atom=0.32 pbc="T T T"
La 1.662 4.985 6.182
La 1.662 4.985 19.028
La 4.985 1.662 6.182
La 4.985 1.662 19.028
Pm 0.006 3.329 9.775
Pm 0.006 6.641 15.435
Pm 0.551 3.874 1.555
Pm 0.551 6.095 23.655
Pm 1.662 1.662 4.132
Pm 1.662 1.662 7.266
Pm 1.662 1.662 17.944
Pm 1.662 1.662 21.078
Pm 2.772 3.874 23.655
Pm 2.772 6.095 1.555
Pm 3.318 3.329 15.435
Pm 3.318 6.641 9.775
Pm 3.329 0.006 15.435
Pm 3.329 3.318 9.775
Pm 3.874 0.551 23.655
Pm 3.874 2.772 1.555
Pm 4.985 4.985 4.132
Pm 4.985 4.985 7.266
Pm 4.985 4.985 17.944
Pm 4.985 4.985 21.078
Pm 6.095 0.551 1.555
Pm 6.095 2.772 23.655
Pm 6.641 0.006 9.775
Pm 6.641 3.318 15.435
Nd 1.662 4.985 12.605
Nd 4.985 1.662 12.605



[6]
11
Lattice="11.264 0.000 0.000 -5.632 9.755 0.000 0.000 0.000 3.665" Properties=species:S:1:pos:R:3 comment="GGA-PBE La6Pm4Nd, relaxed" de_polymorph_ev_per_atom=0.031 formation_energy_ev_per_atom=0.12 pbc="T T T"
La 0.000 3.599 0.000
La -2.515 7.955 0.000
La 5.632 0.638 1.832
La 3.368 4.558 1.832
La 2.515 7.955 0.000
La 7.895 4.558 1.832
Pm 2.696 1.556 0.000
Pm 0.000 6.503 1.832
Pm 8.568 1.556 0.000
Pm 5.632 6.642 0.000
Nd 0.000 0.000 1.832



[7]
11
Lattice="9.136 0.000 0.000 0.000 3.593 0.000 -0.917 0.000 12.044" Properties=species:S:1:pos:R:3 comment="GGA-PBE La5Pm2Nd4, relaxed" de_polymorph_ev_per_atom=0.000 formation_energy_ev_per_atom=0.08 pbc="T T T"
La 0.000 0.000 0.000
La 0.393 0.000 3.484
La 2.000 0.000 10.008
La 6.219 0.000 2.036
La 7.826 0.000 8.560
Pm 3.744 0.000 4.385
Pm 4.475 0.000 7.659
Nd 1.379 1.797 6.595
Nd 3.058 1.797 1.253
Nd 5.161 1.797 10.791
Nd 6.840 1.797 5.449



[8]
8
Lattice="5.995 -6.913 0.000 5.995 6.913 0.000 0.000 0.000 3.499" Properties=species:S:1:pos:R:3 comment="GGA-PBE La4PmNd3, relaxed" de_polymorph_ev_per_atom=0.313 formation_energy_ev_per_atom=0.33 pbc="T T T"
La 5.995 3.468 0.000
La 2.993 0.000 1.749
La 8.998 0.000 1.749
La 5.995 -3.468 0.000
Pm 0.000 0.000 0.000
Nd 2.998 3.456 1.749
Nd 2.998 -3.456 1.749
Nd 5.995 0.000 0.000



[9]
10
Lattice="6.117 -8.653 0.000 6.117 8.653 0.000 0.000 0.000 3.578" Properties=species:S:1:pos:R:3 comment="GGA-PBE La7PmNd2, relaxed" de_polymorph_ev_per_atom=0.000 formation_energy_ev_per_atom=0.31 pbc="T T T"
La 0.000 0.000 0.000
La 2.985 2.239 0.000
La 6.117 5.548 1.789
La 2.985 -2.239 0.000
La 9.249 2.239 0.000
La 6.117 -5.548 1.789
La 9.249 -2.239 0.000
Pm 6.117 0.000 1.789
Nd 6.117 2.914 0.000
Nd 6.117 -2.914 0.000



[10]
12
Lattice="7.826 -2.601 0.000 7.826 2.601 0.000 -5.214 0.000 10.417" Properties=species:S:1:pos:R:3 comment="GGA-PBE La2Pm5Nd5, relaxed" formation_energy_ev_per_atom=0.02 pbc="T T T"
La -2.618 0.000 10.416
La 13.057 0.000 0.001
Pm 2.609 0.000 5.200
Pm 5.225 0.000 2.626
Pm 7.826 0.000 0.000
Pm 5.213 0.000 7.791
Pm 7.830 0.000 5.217
Nd -2.607 0.000 5.208
Nd -0.004 0.000 2.629
Nd 0.005 0.000 7.792
Nd 10.434 0.000 2.624
Nd 10.443 0.000 7.787



[11]
10
Lattice="5.056 2.919 3.986 -5.056 2.919 3.986 0.000 -5.839 3.986" Properties=species:S:1:pos:R:3 comment="GGA-PBE LaPm6Nd3, relaxed" de_polymorph_ev_per_atom=0.106 formation_energy_ev_per_atom=0.24 pbc="T T T"
La 0.000 0.000 0.000
Pm -1.649 -2.984 3.992
Pm -3.275 0.001 5.985
Pm -1.760 2.920 3.992
Pm 1.637 -2.837 5.985
Pm 3.409 0.064 3.992
Pm 1.639 2.836 5.985
Nd 0.000 0.000 2.996
Nd 0.000 0.000 5.978
Nd 0.000 0.000 8.964



[12]
10
Lattice="5.067 2.925 3.998 -5.067 2.925 3.998 0.000 -5.850 3.998" Properties=species:S:1:pos:R:3 comment="GGA-PBE LaPm3Nd6, relaxed" de_polymorph_ev_per_atom=0.096 formation_energy_ev_per_atom=0.23 pbc="T T T"
La 0.000 0.000 0.000
Pm 0.000 0.000 3.013
Pm 0.000 0.000 5.997
Pm 0.000 0.000 8.980
Nd -1.654 -2.986 3.998
Nd -3.282 0.000 5.997
Nd -1.759 2.925 3.998
Nd 1.641 -2.843 5.997
Nd 3.413 0.061 3.998
Nd 1.641 2.843 5.997



[13]
9
Lattice="3.097 -3.096 0.000 3.097 3.096 0.000 -3.076 0.000 16.863" Properties=species:S:1:pos:R:3 comment="GGA-PBE La5Pm2Nd2, relaxed" de_polymorph_ev_per_atom=0.000 formation_energy_ev_per_atom=0.10 pbc="T T T"
La 0.000 0.000 0.000
La 0.010 0.000 7.433
La 0.016 0.000 15.019
La 3.103 0.000 1.844
La 3.108 0.000 9.430
Pm 0.014 0.000 11.272
Pm 3.105 0.000 5.591
Nd 0.005 0.000 3.790
Nd 3.113 0.000 13.073



[14]
20
Lattice="6.197 3.578 5.372 -6.197 3.578 5.372 0.000 -7.156 5.372" Properties=species:S:1:pos:R:3 comment="GGA-PBE LaPm7Nd12, relaxed" de_polymorph_ev_per_atom=0.000 formation_energy_ev_per_atom=0.21 pbc="T T T"
La 0.000 0.000 0.000
Pm -5.413 0.562 6.733
Pm -3.193 -4.407 9.384
Pm 2.220 -4.968 6.733
Pm 0.000 0.000 8.059
Pm -2.220 4.968 9.384
Pm 3.193 4.407 6.733
Pm 5.413 -0.562 9.384
Nd -1.983 -0.586 4.729
Nd -0.819 -3.352 7.180
Nd -3.312 -0.967 8.937
Nd 1.499 -1.424 4.729
Nd -2.493 2.385 7.180
Nd 0.484 2.010 4.729
Nd -0.484 -2.010 11.389
Nd 2.493 -2.385 8.937
Nd -1.499 1.424 11.389
Nd 3.312 0.967 7.180
Nd 0.819 3.351 8.937
Nd 1.983 0.586 11.389



[15]
7
Lattice="-2.943 4.445 6.040 2.943 -4.445 6.040 2.943 4.445 -6.040" Properties=species:S:1:pos:R:3 comment="GGA-PBE LaPmNd5, relaxed" de_polymorph_ev_per_atom=0.782 formation_energy_ev_per_atom=0.94 pbc="T T T"
La 0.000 0.000 0.000
Pm 0.000 0.000 6.040
Nd 2.943 1.607 0.000
Nd 0.000 0.000 2.999
Nd 0.000 4.445 0.000
Nd 0.000 0.000 9.081
Nd 0.000 2.838 6.040



[16]
16
Lattice="7.339 0.000 0.000 0.000 14.692 0.000 0.000 0.000 5.198" Properties=species:S:1:pos:R:3 comment="GGA-PBE LaPm5Nd2, relaxed" de_polymorph_ev_per_atom=0.000 formation_energy_ev_per_atom=0.02 pbc="T T T"
La 0.000 0.000 0.000
La 3.670 7.346 0.000
Pm 7.339 3.694 0.000
Pm 0.000 7.346 0.000
Pm 0.001 10.997 0.000
Pm 1.835 1.845 2.599
Pm 1.835 9.191 2.599
Pm 3.670 0.000 0.000
Pm 3.669 3.652 0.000
Pm 3.670 11.040 0.000
Pm 5.504 5.501 2.599
Pm 5.505 12.847 2.599
Nd 1.834 5.496 2.599
Nd 1.835 12.842 2.599
Nd 5.504 1.849 2.599
Nd 5.505 9.195 2.599



[17]
19
Lattice="8.048 -5.337 0.000 8.048 5.337 0.000 -8.027 0.000 8.119" Properties=species:S:1:pos:R:3 comment="GGA-PBE La5Pm2Nd12, relaxed" de_polymorph_ev_per_atom=0.000 formation_energy_ev_per_atom=0.10 pbc="T T T"
La 0.000 0.000 0.000
La -2.979 0.000 6.610
La 3.234 0.000 1.676
La 4.835 0.000 6.444
La 11.048 0.000 1.509
Pm 4.034 2.658 4.060
Pm 4.034 -2.658 4.060
Nd -0.791 2.807 5.617
Nd -1.684 0.000 3.241
Nd 5.587 2.783 0.820
Nd 2.482 2.783 7.300
Nd 1.509 0.000 5.019
Nd 8.860 2.807 2.502
Nd -0.791 -2.807 5.617
Nd 6.560 0.000 3.100
Nd 5.587 -2.783 0.820
Nd 2.482 -2.783 7.300
Nd 9.753 0.000 4.878
Nd 8.860 -2.807 2.502



[18]
6
Lattice="3.683 0.000 0.000 0.000 5.183 0.000 0.000 0.000 11.052" Properties=species:S:1:pos:R:3 comment="GGA-PBE LaPm4Nd, relaxed" de_polymorph_ev_per_atom=0.002 formation_energy_ev_per_atom=0.02 pbc="T T T"
La 0.000 0.000 0.000
Pm 0.000 0.000 3.691
Pm 0.000 0.000 7.361
Pm 1.841 2.592 1.867
Pm 1.841 2.592 9.184
Nd 1.841 2.592 5.526



[19]
26
Lattice="12.029 0.000 0.000 0.000 21.278 0.000 0.000 0.000 3.703" Properties=species:S:1:pos:R:3 comment="GGA-PBE La6Pm2Nd5, relaxed" formation_energy_ev_per_atom=0.09 pbc="T T T"
La 0.745 1.668 0.000
La 0.966 7.800 0.000
La 2.136 13.488 1.852
La 3.878 2.849 1.852
La 5.048 18.439 0.000
La 5.269 12.307 0.000
La 6.760 8.971 0.000
La 6.981 2.839 0.000
La 8.151 18.429 1.852
La 9.892 7.790 1.852
La 11.063 13.478 0.000
La 11.284 19.610 0.000
Pm 2.029 16.742 0.000
Pm 3.985 6.103 0.000
Pm 8.044 15.175 0.000
Pm 9.999 4.536 0.000
Nd 0.000 10.639 1.852
Nd 1.072 4.781 1.852
Nd 2.382 20.082 1.852
Nd 3.633 9.443 1.852
Nd 4.943 15.420 1.852
Nd 6.014 0.000 1.852
Nd 7.086 5.858 1.852
Nd 8.396 11.835 1.852
Nd 9.647 1.196 1.852
Nd 10.957 16.497 1.852